w:
# InAuSO | the Open Quantum Materials Database | PBE | relaxed
data_InAuSO
_space_group_name_H-M_alt 'P 4/n m m'
_space_group_IT_number 129
_cell_length_a 3.896
_cell_length_b 3.896
_cell_length_c 9.053
_cell_angle_alpha 90.00
_cell_angle_beta 90.00
_cell_angle_gamma 90.00
loop_
_space_group_symop_operation_xyz
'x,y,z'
'-x,-y,-z'
'-y+1/2,x,z'
'y+1/2,-x,-z'
'-x+1/2,-y+1/2,z'
'x+1/2,y+1/2,-z'
'y,-x+1/2,z'
'-y,x+1/2,-z'
'x+1/2,-y,-z'
'-x+1/2,y,z'
'-y,-x,-z'
'y,x,z'
'-x,y+1/2,-z'
'x,-y+1/2,z'
'y+1/2,x+1/2,-z'
'-y+1/2,-x+1/2,z'
loop_
_atom_site_label
_atom_site_fract_x
_atom_site_fract_y
_atom_site_fract_z
In1 0.250 0.250 0.114
Au1 0.250 0.750 0.500
S1 0.250 0.250 0.712
O1 0.250 0.750 0.000
# volume: 137 Å³/cell
# crystal system: tetragonal

x:
# InAuSO | the Open Quantum Materials Database | PBE | relaxed
data_InAuSO
_space_group_name_H-M_alt 'P m c 21'
_space_group_IT_number 26
_space_group_name_Hall 'P 2c -2'
_cell_length_a 3.822
_cell_length_b 6.527
_cell_length_c 6.493
_cell_angle_alpha 90.00
_cell_angle_beta 90.00
_cell_angle_gamma 90.00
loop_
_atom_site_label
_atom_site_fract_x
_atom_site_fract_y
_atom_site_fract_z
In1 0.000 0.129 0.000
Au1 0.500 0.271 0.476
S1 0.500 0.347 0.125
O1 0.000 0.137 0.680
# volume: 162 Å³/cell
# crystal system: orthorhombic

Tell me which of them is the least stable. Sure, it is w.